Entry 1:
A relaxed structure of BaGaOF2, computed with PBE.

Computed properties:
- Energy relative to the elements, uncorrected: -238.2 kJ/mol of atoms

Cell lengths 4.4489, 4.4489, 4.1053 Å; angles 90.00, 90.00, 90.00 degrees
Space group P4/mmm (No. 123)
One atom of each set of equivalent atoms:
Ba1 0.0000 0.0000 0.0000 x1
Ga1 0.5000 0.5000 0.5000 x1
O1 0.5000 0.5000 0.0000 x1
F1 0.0000 0.5000 0.5000 x2

***

Entry 2:
A relaxed structure of BaGaOF2, computed with PBE.

Computed properties:
- Energy relative to the elements, uncorrected: -172.9 kJ/mol of atoms

Cell lengths 5.0846, 5.0846, 4.5671 Å; angles 90.00, 90.00, 90.00 degrees
Space group P4/mmm (No. 123)
One atom of each set of equivalent atoms:
Ba1 0.0000 0.0000 0.0000 x1
Ga1 0.5000 0.5000 0.5000 x1
O1 0.0000 0.0000 0.5000 x1
F1 0.0000 0.5000 0.0000 x2

***

| no. | relative energy among the computed polymorphs (meV per atom) | magnetization (Bohr magnetons per cell) |
| --- | --- | --- |
| 1 | 0 | 0.000 |
| 2 | 676 | 0.000 |